Here is a relaxed structure of TiRe3Au from Alexandria. Energies are from PBE.

Properties
- M_tot (μB per formula unit) = 0.00
- ΔH_f (0 K) (meV per atom) = 2733

Structure (CIF):
```
data_TiRe3Au
_space_group_name_H-M_alt 'P 1'
_space_group_IT_number 1
_cell_length_a 4.772
_cell_length_b 4.772
_cell_length_c 4.772
_cell_angle_alpha 90.00
_cell_angle_beta 90.00
_cell_angle_gamma 90.00
loop_
_space_group_symop_operation_xyz
'x,y,z'
loop_
_atom_site_label
_atom_site_fract_x
_atom_site_fract_y
_atom_site_fract_z
_atom_site_occupancy
Ti1 0.000 0.000 0.000 1
Re1 0.000 0.500 0.500 1
Re2 0.500 0.000 0.500 1
Re3 0.500 0.500 0.000 1
Au1 0.500 0.500 0.500 1
```